Density functional theory data (PBE) for an optimized crystal structure of La4CuI5.

DFT total energy (eV/atom): -4.2514
V (Å³ per cell): 385.36
ΔE_f (raw) (meV per atom): -1096

Geometry as POSCAR:
```
La4CuI5
1.0
4.2736 0.0000 0.0000
0.0000 9.3255 -0.3615
-2.1368 -1.7078 9.7356
Cu La I
1 4 5
direct
0.5000 0.0000 0.0000
0.0001 0.2144 0.0002
0.9999 0.7856 0.9998
0.3450 0.9253 0.6899
0.6550 0.0747 0.3101
0.1719 0.8135 0.3438
0.1676 0.3431 0.3352
0.8324 0.6569 0.6648
0.8281 0.1865 0.6562
0.5000 0.5000 0.0000
```

***

Density functional theory data (PBE) for an optimized crystal structure of LaCu2I2.

ΔE to the lowest computed polymorph (eV/atom): 0.000
DFT total energy (eV/atom): -3.5583
V (Å³ per cell): 146.72
ΔE_f (raw) (meV per atom): -314

Geometry as POSCAR:
```
LaCu2I2
1.0
3.7214 0.0000 0.0000
0.0000 3.7214 0.0000
1.8607 1.8607 10.5949
Cu La I
2 1 2
direct
0.7500 0.2500 0.5000
0.2500 0.7500 0.5000
0.0000 0.0000 0.0000
0.4064 0.4064 0.1872
0.5936 0.5936 0.8128
```

***

Density functional theory data (PBE) for an optimized crystal structure of La6CuI8.

DFT total energy (eV/atom): -4.2145
V (Å³ per cell): 613.64
ΔE_f (raw) (meV per atom): -1144

Geometry as POSCAR:
```
La6CuI8
1.0
-2.4850 4.4280 -5.9176
-3.7631 -3.2635 -5.9990
-12.2365 2.0174 1.5109
La I Cu
6 8 1
direct
0.9493 0.6431 0.1518
0.0507 0.3569 0.8482
0.7442 0.0507 0.8482
0.6431 0.2558 0.1518
0.3569 0.7442 0.8482
0.2558 0.9493 0.1518
0.2387 0.5446 0.3249
0.8918 0.2387 0.3249
0.5446 0.8918 0.3249
0.6667 0.6667 0.9999
0.7613 0.4554 0.6751
0.4554 0.1082 0.6751
0.3333 0.3333 0.0001
0.1082 0.7613 0.6751
0.0000 0.0000 0.0000
```

***

Density functional theory data (PBE) for an optimized crystal structure of LaCuI2.

ΔE to the lowest computed polymorph (eV/atom): 0.254
DFT total energy (eV/atom): -3.2952
V (Å³ per cell): 293.40
ΔE_f (raw) (meV per atom): -264

Geometry as POSCAR:
```
LaCuI2
1.0
7.1751 0.0000 0.0000
0.0000 7.1751 0.0000
3.5875 3.5875 5.6992
I La Cu
4 2 2
direct
0.3750 0.4502 0.7500
0.2002 0.6250 0.2500
0.8750 0.7998 0.7500
0.5498 0.1250 0.2500
0.7500 0.2500 0.5000
0.0000 0.0000 0.0000
0.2500 0.7500 0.5000
0.5000 0.5000 0.0000
```

***

| no. | DOS(E_F) (states/eV/atom) |
| --- | --- |
| 1 | 0.728 |
| 2 | 0.358 |
| 3 | 0.693 |
| 4 | 0.213 |